DFT (PBE) results for crystalline Th6SbOs3Se2 at its relaxed geometry.

E_form (uncorrected): -10.38 eV/f.u.
Magnetic moment: 0.0 μB/f.u.
Calculated volume: 663 Å³ per cell

Cell lengths 18.9604, 4.1650, 8.8081 Å; angles 90.00, 107.53, 90.00 degrees
Closest atoms and distances in Å follow each position.
Space group C2/m (No. 12)
Symmetry-distinct sites (fractional):
1 Th 0.0073 0.0000 0.2245 x4  3 Os 2.85-2.89
2 Th 0.1595 0.5000 0.1042 x4  3 Os 2.86-2.88, 3 Se 3.14-3.19
3 Th 0.1773 0.5000 0.5653 x4  3 Os 2.81-2.90
4 Sb 0.0000 0.5000 0.5000 x2  6 Th 3.23-3.24
5 Os 0.0000 0.5000 0.0000 x2  6 Th 2.85-2.88
6 Os 0.1673 0.0000 0.3312 x4  6 Th 2.81-2.90
7 Se 0.1685 0.0000 0.8368 x4  6 Th 3.14-3.21